(1)
First-principles (PBE) data for crystalline Na16MgTl12 at its relaxed geometry, as listed in Alexandria via LeMat-Bulk.

```
Na16MgTl12
1.0
2.128 -9.783 2.842
7.786 6.317 2.789
-8.774 3.098 4.475
Tl Na Mg
12 16 1
Direct
0.798 0.798 0.191
0.613 0.803 0.607
0.803 0.613 0.607
0.391 0.203 0.009
0.997 0.186 0.381
0.376 0.999 0.190
0.190 0.814 0.810
0.186 0.997 0.381
0.203 0.391 0.009
0.999 0.376 0.190
0.619 0.619 0.803
0.814 0.190 0.810
0.344 0.344 0.345
0.723 0.305 0.306
0.696 0.416 0.004
0.995 0.666 0.995
0.276 0.588 0.587
0.305 0.723 0.306
0.996 0.687 0.412
0.415 0.002 0.694
0.588 0.276 0.587
0.002 0.002 0.999
0.666 0.995 0.995
0.416 0.696 0.004
0.687 0.996 0.412
0.002 0.415 0.694
0.000 0.000 0.661
0.313 0.313 0.727
0.590 0.590 0.283
```

Summary:
The formation energy is -275.4 kJ/mol of formula units. For the density of states at the Fermi level, the calculation gives 0.408 states/eV/atom. The space group is No. 8. The volume comes out at 29.2 Å³ per atom.

=====

(2)
First-principles (PBE) data for crystalline CuHgPt at its relaxed geometry, as listed in Alexandria via LeMat-Bulk.

```
CuHgPt
1.0
-4.593 2.022 -0.740
-4.196 -1.514 2.415
4.754 1.711 0.453
Pt Cu Hg
1 1 1
Direct
0.652 0.652 0.000
0.012 0.012 0.000
0.336 0.336 0.000
```

Summary:
The formation energy is 5.1 kJ/mol of formula units. The value obtained for the energy above the most stable polymorph in this dataset is 0.000 eV per atom. For the density of states at the Fermi level, the calculation gives 0.263 states/eV/atom. The space group is No. 44. The volume comes out at 16.4 Å³ per atom.

=====

(3)
First-principles (PBE) data for crystalline NiHg3Pd6 at its relaxed geometry, as listed in Alexandria via LeMat-Bulk.

```
NiHg3Pd6
1.0
-1.275 2.119 -3.891
-7.006 -3.268 0.515
-0.173 8.661 4.773
Ni Pd Hg
2 12 6
Direct
0.750 0.040 0.419
0.250 0.960 0.581
0.250 0.231 0.477
0.750 0.946 0.137
0.250 0.871 0.303
0.250 0.458 0.081
0.250 0.679 0.684
0.750 0.542 0.919
0.750 0.321 0.316
0.750 0.846 0.821
0.250 0.154 0.179
0.750 0.769 0.523
0.250 0.054 0.863
0.750 0.129 0.697
0.250 0.547 0.389
0.750 0.644 0.222
0.750 0.453 0.611
0.750 0.224 0.010
0.250 0.356 0.778
0.250 0.776 0.990
```

Summary:
The formation energy is -69.7 kJ/mol of formula units. For the density of states at the Fermi level, the calculation gives 0.826 states/eV/atom. The space group is No. 11. The volume comes out at 16.7 Å³ per atom.

=====

(4)
First-principles (PBE) data for crystalline AcZn2Pd3 at its relaxed geometry, as listed in Alexandria via LeMat-Bulk.

```
AcZn2Pd3
1.0
5.378 0.000 0.000
0.000 6.720 0.127
0.000 -1.226 6.609
Zn Ac Pd
4 2 6
Direct
0.500 0.218 0.782
0.000 0.218 0.782
0.500 0.782 0.218
0.000 0.782 0.218
0.750 0.702 0.702
0.250 0.298 0.298
0.250 0.947 0.947
0.750 0.079 0.464
0.250 0.921 0.536
0.750 0.053 0.053
0.750 0.464 0.079
0.250 0.536 0.921
```

Summary:
The formation energy is -377.1 kJ/mol of formula units. The value obtained for the energy above the most stable polymorph in this dataset is 0.062 eV per atom. For the density of states at the Fermi level, the calculation gives 0.354 states/eV/atom. The space group is No. 63. The volume comes out at 20.0 Å³ per atom.